No. 1
# BaTcOsN2

A relaxed BaTcOsN2 crystal (PBE-GGA, Alexandria).

Properties
**Total magnetic moment**: 2.5 μB/cell
**E**: -6.4821 eV per atom
**Energy relative to the lowest polymorph listed for this composition**: 0.5717 eV per atom
**Density of states at the Fermi level**: 0.985 states/eV per atom
**Formation energy without anion corrections**: 1.55 eV per atom

Cell lengths 3.886, 6.652, 3.886 Å; angles 90.00, 90.00, 90.00 degrees
Each line ends with the local moment (μB).
Element x y z (fractional)
1 Os 0.000 0.000 0.000  0.00
2 N 0.000 0.000 0.500  0.07
3 N 0.500 0.000 0.000  0.04
4 Ba 0.000 0.500 0.000  -0.03
5 Tc 0.500 0.500 0.500  2.02

No. 2
# ZrHgO3

A relaxed ZrHgO3 crystal (PBE-GGA, Alexandria).

Properties
**Total magnetic moment**: 0.0 μB/cell
**E**: -6.5122 eV per atom
**Density of states at the Fermi level**: 0.205 states/eV per atom
**Formation energy without anion corrections**: -1.77 eV per atom

Cell lengths 4.146, 4.146, 4.146 Å; angles 90.00, 90.00, 90.00 degrees
Element x y z (fractional)
1 Hg 0.500 0.500 0.500
2 Zr 0.000 0.000 0.000
3 O 0.000 0.500 0.000
4 O 0.500 0.000 0.000
5 O 0.000 0.000 0.500

No. 3
# LaI3F

A relaxed LaI3F crystal (PBE-GGA, Alexandria).

Properties
**Total magnetic moment**: 0.0 μB/cell
**E**: -2.9754 eV per atom
**Energy relative to the lowest polymorph listed for this composition**: 0.3446 eV per atom
**Density of states at the Fermi level**: 1.271 states/eV per atom
**Formation energy without anion corrections**: -0.69 eV per atom

Cell lengths 5.359, 5.359, 5.359 Å; angles 90.00, 90.00, 90.00 degrees
Element x y z (fractional)
1 I 0.500 0.000 0.000
2 I 0.000 0.500 0.000
3 I 0.000 0.000 0.500
4 F 0.000 0.000 0.000
5 La 0.500 0.500 0.500